A plane-wave DFT calculation with PBE was carried out for a relaxed structure of BaMo.

total energy	-4.412	eV/atom
volume	40.641	Å³/atom
E above lowest polymorph	1406	meV per atom
ΔH_f (0 K)	1965	meV per atom
density	4.8	g/cm³

```
BaMo
1.0
-0.584 0.394 -6.840
2.413 -6.413 -0.576
-6.412 -2.449 0.407
Ba Mo
4 4
Direct
0.500 0.500 0.500
0.500 0.000 0.000
0.000 0.500 0.000
0.000 0.000 0.500
0.000 0.000 0.000
0.000 0.500 0.500
0.500 0.000 0.500
0.500 0.500 0.000
```